(1)
Compound: LiTcGe3
Source: the Alexandria database
Functional: PBE
Structure: optimized geometry

Results
As for the density of states at the Fermi level: 0.47 states/eV per atom. The total magnetization comes out at 0.000 Bohr magnetons per cell. The energy above the most stable polymorph in this dataset is 0.000 eV/atom. As for the space group: Cmcm, No. 63. Its total energy is -5.226 eV/atom. The value obtained for the theoretical density is 5.8 g/cm3. The formation enthalpy at 0 K comes out at 0.00 eV/atom.

Geometry as extended XYZ:
```
10
Lattice="-3.2494 -3.4315 -2.4972 3.9046 -5.1273 1.9649 -4.7318 2.0846 3.2925" Properties=species:S:1:pos:R:3 pbc="T T T"
Ge -0.0249 -2.4969 0.6030
Ge -4.0517 -3.9773 2.1571
Ge -3.6209 -2.7777 -0.0519
Ge 1.4907 -4.4882 1.3672
Ge -0.4557 -3.6964 2.8121
Ge -5.5673 -1.9860 1.3929
Li -1.7852 -5.3604 1.1081
Li -2.2914 -1.1138 1.6521
Tc 0.0000 0.0000 0.0000
Tc -1.6247 -1.7158 -1.2486
```

---

(2)
Compound: Li3TcGe
Source: the Alexandria database
Functional: PBE
Structure: optimized geometry

Results
As for the density of states at the Fermi level: 0.59 states/eV per atom. The total magnetization comes out at 0.000 Bohr magnetons per cell. The energy above the most stable polymorph in this dataset is 0.000 eV/atom. As for the space group: Pm-3m, No. 221. Its total energy is -3.163 eV/atom. The value obtained for the theoretical density is 3.7 g/cm3. The formation enthalpy at 0 K comes out at 0.98 eV/atom.

Geometry as extended XYZ:
```
5
Lattice="4.3945 0.0000 0.0000 0.0000 4.3945 0.0000 0.0000 0.0000 4.3945" Properties=species:S:1:pos:R:3 pbc="T T T"
Li 2.1973 0.0000 0.0000
Li 0.0000 2.1973 0.0000
Li 0.0000 0.0000 2.1973
Tc 2.1973 2.1973 2.1973
Ge 0.0000 0.0000 0.0000
```

---

(3)
Compound: LiTcGe3
Source: the Alexandria database
Functional: PBE
Structure: optimized geometry

Results
As for the density of states at the Fermi level: 0.94 states/eV per atom. The total magnetization comes out at 0.000 Bohr magnetons per cell. The energy above the most stable polymorph in this dataset is 0.209 eV/atom. As for the space group: Pm-3m, No. 221. Its total energy is -5.017 eV/atom. The value obtained for the theoretical density is 4.7 g/cm3. The formation enthalpy at 0 K comes out at 0.21 eV/atom.

Geometry as extended XYZ:
```
5
Lattice="4.8564 0.0000 0.0000 0.0000 4.8564 0.0000 0.0000 0.0000 4.8564" Properties=species:S:1:pos:R:3 pbc="T T T"
Tc 0.0000 0.0000 0.0000
Ge 0.0000 0.0000 2.4282
Ge 0.0000 2.4282 0.0000
Ge 2.4282 0.0000 0.0000
Li 2.4282 2.4282 2.4282
```

---

(4)
Compound: Li2TcGe2
Source: the Alexandria database
Functional: PBE
Structure: optimized geometry

Results
As for the density of states at the Fermi level: 0.41 states/eV per atom. The total magnetization comes out at 1.850 Bohr magnetons per cell. The energy above the most stable polymorph in this dataset is 0.109 eV/atom. As for the space group: P4/mbm, No. 127. Its total energy is -4.733 eV/atom. The value obtained for the theoretical density is 5.9 g/cm3. The formation enthalpy at 0 K comes out at -0.05 eV/atom.

Geometry as extended XYZ:
```
10
Lattice="-4.7585 4.0033 -2.6436 0.7323 -3.0737 -5.9728 -2.2350 -2.1178 0.8158" Properties=species:S:1:pos:R:3 pbc="T T T"
Ge -2.9766 2.1396 -2.6002
Ge -3.5777 1.4165 -6.1239
Ge -1.0496 -1.2099 -6.0163
Ge -0.4485 -0.4869 -2.4925
Tc -2.0131 0.4648 -4.3082
Tc 0.0000 0.0000 0.0000
Li -2.6456 -0.1542 -1.4299
Li -4.8857 1.2635 -3.8865
Li -3.6155 -1.0339 -6.3707
Li -1.3754 -2.4516 -3.9141
```

---

(5)
Compound: Li2TcGe2
Source: the Alexandria database
Functional: PBE
Structure: optimized geometry

Results
As for the density of states at the Fermi level: 0.48 states/eV per atom. The total magnetization comes out at 0.000 Bohr magnetons per cell. The energy above the most stable polymorph in this dataset is 0.000 eV/atom. As for the space group: P2_1/c, No. 14. Its total energy is -4.842 eV/atom. The value obtained for the theoretical density is 5.3 g/cm3. The formation enthalpy at 0 K comes out at -0.16 eV/atom.

Geometry as extended XYZ:
```
20
Lattice="6.7726 0.0000 0.0000 0.0000 5.3834 -0.2678 0.0000 0.4201 8.8738" Properties=species:S:1:pos:R:3 pbc="T T T"
Li 5.0975 5.7816 8.4053
Li 6.1203 1.4482 2.1642
Li 1.7112 2.7136 0.0668
Li 0.6523 4.3553 6.4418
Li 5.0614 3.0899 8.5392
Li 4.0386 4.1399 2.0303
Li 2.7340 1.6637 6.5757
Li 1.6751 0.0219 0.2007
Tc 5.0797 2.9657 5.5839
Tc 1.6929 2.8379 3.0221
Tc 1.6934 5.5295 2.8882
Tc 5.0792 0.2740 5.7178
Ge 2.9524 4.2703 4.7042
Ge 3.8202 1.5332 3.9018
Ge 6.3387 4.2249 3.7679
Ge 3.3774 4.3941 7.1437
Ge 3.3952 1.4094 1.4623
Ge 6.7637 4.1011 1.3285
Ge 0.0089 1.7024 7.2775
Ge 0.4339 1.5786 4.8381
```

---

(6)
Compound: Li2TcGe
Source: the Alexandria database
Functional: PBE
Structure: optimized geometry

Results
As for the density of states at the Fermi level: 0.81 states/eV per atom. The total magnetization comes out at 0.000 Bohr magnetons per cell. As for the space group: I-42d, No. 122. Its total energy is -4.410 eV/atom. The value obtained for the theoretical density is 5.2 g/cm3. The formation enthalpy at 0 K comes out at 0.29 eV/atom.

Geometry as extended XYZ:
```
8
Lattice="-3.1127 -3.4085 5.1633 4.9072 -4.8802 -0.2633 2.2330 -2.8894 4.0836" Properties=species:S:1:pos:R:3 pbc="T T T"
Li -0.7376 -3.4231 4.1551
Li 2.4047 -5.3321 4.8972
Li 3.1879 -9.3630 7.3533
Li 3.2000 -4.2382 1.5618
Ge 4.0187 -5.9570 3.1352
Ge 0.8973 -4.1444 2.4500
Tc 0.0088 -5.2212 5.8485
Tc 0.0000 0.0000 0.0000
```

---

(7)
Compound: LiTc4Ge2
Source: the Alexandria database
Functional: PBE
Structure: optimized geometry

Results
As for the density of states at the Fermi level: 0.81 states/eV per atom. The total magnetization comes out at 0.000 Bohr magnetons per cell. As for the space group: Cmmm, No. 65. Its total energy is -7.534 eV/atom. The value obtained for the theoretical density is 7.6 g/cm3. The formation enthalpy at 0 K comes out at -0.02 eV/atom.

Geometry as extended XYZ:
```
7
Lattice="-3.3554 -1.6943 1.4344 -1.6055 0.0176 -3.7347 3.6196 -6.6390 0.6252" Properties=species:S:1:pos:R:3 pbc="T T T"
Tc 1.6970 -3.9942 -0.7483
Tc -0.7364 -4.9434 -1.9192
Tc -0.6049 -3.3723 0.2441
Tc 0.3171 -2.6271 -2.3612
Ge 0.6634 -6.3575 -0.3151
Ge -2.0047 -1.9581 -1.3599
Li 0.0000 0.0000 0.0000
```

---

(8)
Compound: Li2TcGe4
Source: the Alexandria database
Functional: PBE
Structure: optimized geometry

Results
As for the density of states at the Fermi level: 0.66 states/eV per atom. The total magnetization comes out at 0.001 Bohr magnetons per cell. As for the space group: I4/mmm, No. 139. Its total energy is -4.608 eV/atom. The value obtained for the theoretical density is 5.8 g/cm3. The formation enthalpy at 0 K comes out at 0.06 eV/atom.

Geometry as extended XYZ:
```
7
Lattice="-2.5082 -2.6711 5.4807 -4.1258 -3.3125 0.4634 1.3114 -4.5896 2.3293" Properties=species:S:1:pos:R:3 pbc="T T T"
Li -3.9154 -6.6221 6.8770
Li -2.6613 -5.2866 4.1367
Ge -0.5984 -3.6303 3.9050
Ge -3.4701 -5.6073 1.6281
Ge -4.5711 -4.3274 5.7124
Ge -2.0056 -7.5814 5.3014
Tc 0.0000 0.0000 0.0000
```